Computed, not measured: crystalline KReAs2 at its relaxed geometry at the GGA-PBE level of DFT.

a = 2.8517 Å, b = 2.8517 Å, c = 10.9120 Å
α = 90.00°, β = 90.00°, γ = 103.98°
Atoms (fractional coordinates):
K 0.0000 0.0000 0.0000
Re 0.5000 0.5000 0.7280
As 0.0000 0.0000 0.5606
As 0.5000 0.5000 0.2561

Excess energy over the best structure of this formula in the dataset in meV per atom: 752
Space-group type: Cmm2 (35)
Energy relative to the elements in eV per atom: 0.653
D(E_F) in states/eV per cell: 2.2
Total magnetic moment in μB per formula unit: 0.0



Computed, not measured: crystalline CsSr2Sc at its relaxed geometry at the GGA-PBE level of DFT.

a = 6.5041 Å, b = 6.5041 Å, c = 6.5041 Å
α = 60.00°, β = 60.00°, γ = 60.00°
Atoms (fractional coordinates):
Cs 0.0000 0.0000 0.0000
Sr 0.2500 0.2500 0.2500
Sr 0.7500 0.7500 0.7500
Sc 0.5000 0.5000 0.5000

Space-group type: Fm-3m (225)
Energy relative to the elements in eV per atom: 0.505
D(E_F) in states/eV per cell: 7.4
Total magnetic moment in μB per formula unit: 1.3



Computed, not measured: crystalline GdErMnNi at its relaxed geometry at the GGA-PBE level of DFT.

a = 4.8850 Å, b = 4.8850 Å, c = 4.8850 Å
α = 60.00°, β = 60.00°, γ = 60.00°
Atoms (fractional coordinates):
Gd 0.0000 0.0000 0.0000
Er 0.5000 0.5000 0.5000
Mn 0.2500 0.2500 0.2500
Ni 0.7500 0.7500 0.7500

Space-group type: F-43m (216)
Energy relative to the elements in eV per atom: 0.001
D(E_F) in states/eV per cell: 4.9
Total magnetic moment in μB per formula unit: 10.5



Computed, not measured: crystalline NdSm2ErIn2 at its relaxed geometry at the GGA-PBE level of DFT.

a = 5.2719 Å, b = 10.0029 Å, c = 6.8188 Å
α = 90.00°, β = 90.00°, γ = 90.00°
Atoms (fractional coordinates):
Nd 0.0000 0.0393 0.0000
Nd 0.0000 0.9607 0.5000
Sm 0.0000 0.3212 0.3548
Sm 0.0000 0.6788 0.8548
Sm 0.5000 0.4582 0.0733
Sm 0.5000 0.5418 0.5733
Er 0.5000 0.1836 0.7228
Er 0.5000 0.8164 0.2228
In 0.0000 0.3542 0.8263
In 0.0000 0.6458 0.3263
In 0.5000 0.1385 0.2550
In 0.5000 0.8615 0.7550

Space-group type: Pmc2_1 (26)
Energy relative to the elements in eV per atom: -0.349
D(E_F) in states/eV per cell: 12.5
Total magnetic moment in μB per formula unit: 0.0



Computed, not measured: crystalline TlReS2 at its relaxed geometry at the GGA-PBE level of DFT.

a = 10.1850 Å, b = 10.1850 Å, c = 10.1850 Å
α = 17.24°, β = 17.24°, γ = 17.24°
Atoms (fractional coordinates):
Tl 0.0000 0.0000 0.0000
Re 0.5000 0.5000 0.5000
S 0.4261 0.4261 0.4261
S 0.5739 0.5739 0.5739

Excess energy over the best structure of this formula in the dataset in meV per atom: 681
Raw formation energy in eV/atom: 0.535
Space-group type: R-3m (166)
D(E_F) in states/eV per cell: 3.0
Total magnetic moment in μB per formula unit: 0.0



Computed, not measured: crystalline CeNdF2 at its relaxed geometry at the GGA-PBE level of DFT.

a = 6.7865 Å, b = 6.7865 Å, c = 6.7865 Å
α = 34.38°, β = 34.38°, γ = 34.38°
Atoms (fractional coordinates):
Ce 0.0000 0.0000 0.0000
Nd 0.5000 0.5000 0.5000
F 0.3701 0.3701 0.3701
F 0.6299 0.6299 0.6299

Raw formation energy in eV/atom: -2.510
Space-group type: R-3m (166)
D(E_F) in states/eV per cell: 8.3
Total magnetic moment in μB per formula unit: 1.3



Computed, not measured: crystalline RbNa3Be at its relaxed geometry at the GGA-PBE level of DFT.

a = 6.8579 Å, b = 6.8579 Å, c = 6.8579 Å
α = 90.00°, β = 90.00°, γ = 90.00°
Atoms (fractional coordinates):
Rb 0.0000 0.0000 0.0000
Na 0.0000 0.0000 0.5000
Na 0.0000 0.5000 0.0000
Na 0.5000 0.0000 0.0000
Be 0.5000 0.5000 0.5000

Excess energy over the best structure of this formula in the dataset in meV per atom: 686
Space-group type: Pm-3m (221)
Energy relative to the elements in eV per atom: 1.106
D(E_F) in states/eV per cell: 4.6
Total magnetic moment in μB per formula unit: 0.0



Computed, not measured: crystalline Ba2Cd4Sn3Au at its relaxed geometry at the GGA-PBE level of DFT.

a = 4.9198 Å, b = 4.9198 Å, c = 12.0319 Å
α = 90.00°, β = 90.00°, γ = 90.00°
Atoms (fractional coordinates):
Ba 0.0000 0.5000 0.2435
Ba 0.5000 0.0000 0.7565
Cd 0.0000 0.0000 0.5000
Cd 0.0000 0.5000 0.8746
Cd 0.5000 0.0000 0.1254
Cd 0.5000 0.5000 0.5000
Sn 0.0000 0.0000 0.0000
Sn 0.0000 0.5000 0.6387
Sn 0.5000 0.0000 0.3613
Au 0.5000 0.5000 0.0000

Space-group type: P-4m2 (115)
Energy relative to the elements in eV per atom: -0.415
D(E_F) in states/eV per cell: 3.8
Total magnetic moment in μB per formula unit: 0.0



Computed, not measured: crystalline KY2Zn at its relaxed geometry at the GGA-PBE level of DFT.

a = 6.2774 Å, b = 6.2774 Å, c = 6.2774 Å
α = 135.19°, β = 135.19°, γ = 65.24°
Atoms (fractional coordinates):
K 0.0000 0.0000 0.0000
Y 0.2500 0.7500 0.5000
Y 0.5000 0.5000 0.0000
Zn 0.7500 0.2500 0.5000

Space-group type: I-4m2 (119)
Energy relative to the elements in eV per atom: 0.465
D(E_F) in states/eV per cell: 6.9
Total magnetic moment in μB per formula unit: 0.0



Computed, not measured: crystalline Ti3CdPd4 at its relaxed geometry at the GGA-PBE level of DFT.

a = 9.3835 Å, b = 5.7996 Å, c = 4.7968 Å
α = 90.00°, β = 90.00°, γ = 90.00°
Atoms (fractional coordinates):
Ti 0.0000 0.1338 0.0000
Ti 0.2332 0.1446 0.4025
Ti 0.2668 0.8554 0.9025
Ti 0.5000 0.8662 0.5000
Ti 0.7332 0.8554 0.9025
Ti 0.7668 0.1446 0.4025
Cd 0.0000 0.6317 0.0385
Cd 0.5000 0.3683 0.5385
Pd 0.0000 0.3749 0.5262
Pd 0.0000 0.8915 0.5435
Pd 0.2447 0.3549 0.9006
Pd 0.2553 0.6451 0.4006
Pd 0.5000 0.1085 0.0435
Pd 0.5000 0.6251 0.0262
Pd 0.7447 0.6451 0.4006
Pd 0.7553 0.3549 0.9006

Excess energy over the best structure of this formula in the dataset in meV per atom: 62
Space-group type: Pmn2_1 (31)
Energy relative to the elements in eV per atom: -0.413
D(E_F) in states/eV per cell: 16.2
Total magnetic moment in μB per formula unit: 0.0



- Which of these has the lowest D(E_F)?
  KReAs2



- Which of these has the highest total magnetic moment?
  GdErMnNi